UGa2P | the Alexandria database | PBE | relaxed; ΔH_f (0 K) = -0.457 eV per atom; calculated total energy = -24.58 eV per formula unit
1.0
-1.0678 -3.1001 3.1630
-1.1205 -2.5096 -2.8379
3.6735 -1.4431 -0.1742
P U Ga
1 1 2
Cartesian
-0.5339 -1.5501 1.5815
0.7426 -3.5264 0.0754
1.8367 -0.7216 -0.0871
-0.5602 -1.2548 -1.4190



SnPbF4 | the Alexandria database | PBE | relaxed; calculated total energy = -28.89 eV per formula unit; E_form (uncorrected) = -2281.9 meV per atom
1.0
6.8297 0.2122 0.0000
-2.5637 6.3338 0.0000
-2.1330 -3.2730 5.6060
Sn Pb F
2 2 8
Cartesian
3.1761 4.8736 0.0000
-0.2388 4.7675 2.8030
1.0447 1.6031 0.0000
4.4596 1.7092 2.8030
-2.1374 3.7886 3.8592
2.4778 0.7018 3.9132
3.0472 2.7414 1.0562
-1.6404 5.7171 1.1103
-0.8555 0.6217 4.5498
1.1960 3.8687 4.4957
4.3381 -0.5106 1.6927
-0.3676 2.6353 1.7468



Li2NpOsO6 | the Alexandria database | PBE | relaxed; calculated total energy = -76.82 eV per formula unit; E_form (uncorrected) = -1907.3 meV per atom
1.0
-1.9098 1.1696 -3.2634
-5.0707 -1.6903 2.3617
-0.6958 5.3205 2.3140
Li Np Os O
2 1 1 6
Cartesian
-3.9818 0.0406 -1.2908
-1.7943 3.5460 -1.3146
-1.4109 0.8640 -2.4108
-4.2995 2.6824 -0.0821
-2.8869 1.7931 -1.2328
-3.2283 4.4036 -0.0974
-3.3453 2.0980 1.5483
-0.4567 0.2797 -0.7804
-5.7163 3.5742 1.0613
-5.3748 0.9637 -0.0740



LaAg2Pd2 | the Alexandria database | PBE | relaxed; ΔH_f (0 K) = -0.346 eV per atom; calculated total energy = -22.74 eV per formula unit; E above lowest polymorph = 8.5 kJ per mole of atoms
1.0
-3.3530 2.2214 1.0187
-2.4428 -2.9966 -1.5059
2.6870 -5.0460 11.3986
La Ag Pd
2 4 4
Cartesian
-2.9505 -1.7425 2.5379
-0.1583 -4.0788 8.3735
-1.2214 -1.4983 -0.7529
-0.0759 -1.9542 4.0118
-1.6765 1.1107 0.5093
-3.0329 -3.8671 6.8996
-1.7819 -1.6061 6.0868
-3.0775 -5.0139 9.2540
-0.0313 -0.8073 1.6574
-1.3269 -4.2151 4.8246



Pm2CoBi | the Alexandria database | PBE | relaxed; ΔH_f (0 K) = -0.048 eV per atom; calculated total energy = -20.68 eV per formula unit; E above lowest polymorph = 24.2 kJ per mole of atoms
1.0
3.8143 0.0000 0.0000
1.9072 3.3033 0.0000
1.9072 1.1011 9.7332
Co Bi Pm
1 1 2
Cartesian
3.8143 2.2022 4.8666
0.0000 0.0000 0.0000
1.9072 1.1011 6.4349
5.7215 3.3033 3.2983



LiGa2P2 | the Alexandria database | PBE | relaxed; ΔH_f (0 K) = -0.084 eV per atom; calculated total energy = -19.21 eV per formula unit; E above lowest polymorph = 0.0 kJ per mole of atoms
1.0
-2.2724 3.4595 -0.5373
-3.1795 -2.3074 -1.4095
-4.9309 0.0372 4.8825
P Ga Li
2 2 1
Cartesian
-3.3467 0.4243 0.6751
-7.0361 0.7649 2.2605
-4.9646 2.0363 1.6859
-5.4182 -0.8471 1.2498
0.0000 0.0000 0.0000



Pm2TlIn4 | the Alexandria database | PBE | relaxed; ΔH_f (0 K) = -0.307 eV per atom; calculated total energy = -24.97 eV per formula unit
1.0
5.6148 0.0180 -3.2250
-1.8661 5.2956 -3.2250
0.0845 0.1197 6.6691
Tl In Pm
1 4 2
Cartesian
2.9939 4.2437 -1.2567
2.9523 4.1848 -4.5910
1.0768 1.5263 -1.3677
3.8840 1.5358 -2.9789
0.1443 4.1741 -2.9789
0.1868 4.2334 0.3559
3.9255 1.5958 0.3559



La5BiAs4 | the Alexandria database | PBE | relaxed; ΔH_f (0 K) = -1.436 eV per atom; calculated total energy = -61.48 eV per formula unit
1.0
-2.3895 -1.3515 -3.5044
-1.4947 -3.4682 2.3567
-10.1999 11.0137 5.5348
La Bi As
5 1 4
Cartesian
-2.5469 1.8048 1.0406
-1.9421 -2.4099 -0.5738
-11.5372 4.3892 3.3465
-7.2722 5.1531 2.9713
-6.8119 1.0409 1.4159
0.0000 0.0000 0.0000
-9.6758 6.8563 3.9533
-9.1904 2.7263 2.3877
-4.8937 3.4677 1.9994
-4.4083 -0.6623 0.4338



Pm4YTm3S8 | the Alexandria database | PBE | relaxed; calculated total energy = -103.82 eV per formula unit; E_form (uncorrected) = -1994.8 meV per atom
1.0
-0.1081 -5.9410 5.0941
7.9465 0.3337 0.5578
-4.2233 6.4376 1.4057
Pm Y Tm S
4 1 3 8
Cartesian
-0.0541 -2.9705 2.5471
-2.1657 0.2483 3.2499
0.0000 0.0000 0.0000
-2.1117 3.2188 0.7028
3.9733 0.1669 0.2789
3.9192 -2.8037 2.8260
1.8075 0.4152 3.5288
1.8616 3.3857 0.9818
1.6289 5.1350 3.0491
3.7181 1.9506 2.3538
-0.0523 1.8687 2.1783
1.5754 2.1962 5.5689
2.0396 -1.3659 1.4887
3.6674 -1.0384 4.8793
-0.1030 -1.1203 4.7039
1.9862 -4.3047 4.0085



Li2CaZr | the Alexandria database | PBE | relaxed; ΔH_f (0 K) = 0.340 eV per atom; calculated total energy = -13.02 eV per formula unit; E above lowest polymorph = 8.1 kJ per mole of atoms
1.0
6.3967 0.0175 0.0068
3.3464 5.4515 -0.0068
-4.1193 -4.0746 2.7104
Ca Li Zr
1 2 1
Cartesian
1.8775 1.9592 1.3518
9.4492 5.3041 0.0000
3.8257 -0.5202 1.3586
5.0861 2.8550 0.0000



Pr2Nd6Y3 | the Alexandria database | PBE | relaxed; ΔH_f (0 K) = 0.272 eV per atom; calculated total energy = -54.57 eV per formula unit; E above lowest polymorph = 10.6 kJ per mole of atoms
1.0
4.8509 0.0000 0.0000
0.0000 4.8509 0.0000
-2.4255 -2.4255 17.0892
Pr Nd Y
2 6 3
Cartesian
0.0000 0.0000 15.5356
2.4255 2.4255 1.5536
0.0000 2.4255 4.1456
2.4255 0.0000 4.1456
2.4255 0.0000 12.9436
0.0000 2.4255 12.9436
2.4255 2.4255 6.6967
0.0000 0.0000 10.3925
0.0000 0.0000 0.0000
2.4255 2.4255 10.1778
0.0000 0.0000 6.9113



LiYSn2Pt4 | the Alexandria database | PBE | relaxed; ΔH_f (0 K) = -0.765 eV per atom; calculated total energy = -46.66 eV per formula unit
1.0
4.5158 0.0000 0.0000
2.2579 3.9108 0.0000
2.2579 1.3036 8.3225
Li Y Sn Pt
1 1 2 4
Cartesian
4.5158 2.6072 4.1612
0.0000 0.0000 0.0000
6.7737 3.9108 6.0552
2.2579 1.3036 2.2673
4.5158 2.6072 6.7058
6.7737 3.9108 3.2897
2.2579 1.3036 5.0328
4.5158 2.6072 1.6166



KBe2Pd | the Alexandria database | PBE | relaxed; ΔH_f (0 K) = 0.289 eV per atom; calculated total energy = -12.59 eV per formula unit; E above lowest polymorph = 0.0 kJ per mole of atoms
1.0
-3.6252 1.2029 3.0535
0.8721 -4.0331 2.6242
3.4162 2.3568 7.0430
Be K Pd
4 2 2
Cartesian
-2.2090 1.1376 4.7606
-1.7730 -0.8789 6.0727
1.3117 1.7145 6.7554
-0.5009 2.3160 8.2821
-1.3765 -1.4151 2.8388
1.4559 -1.5457 6.2530
0.0000 0.0000 0.0000
-0.7928 1.0723 6.4677



Cs2CaC | the Alexandria database | PBE | relaxed; ΔH_f (0 K) = 1.691 eV per atom; calculated total energy = -6.17 eV per formula unit
1.0
4.5388 -3.5661 0.9176
-0.8517 -5.2500 2.4232
0.6122 -4.8389 -3.2202
Cs Ca C
2 1 1
Cartesian
1.0748 -3.4137 0.0301
3.2245 -10.2412 0.0904
2.1497 -6.8275 0.0603
0.0000 0.0000 0.0000



BaZnSe2 | the Alexandria database | PBE | relaxed; calculated total energy = -14.53 eV per formula unit; E_form (uncorrected) = -1090.2 meV per atom
1.0
3.7901 0.0000 0.0000
0.0000 4.3121 -0.1611
0.0000 0.2538 7.2746
Ba Se Zn
1 2 1
Cartesian
1.8951 3.4244 5.3351
0.0000 1.0833 0.0204
0.0000 1.1996 3.5363
1.8951 1.1415 1.7784



Li2NpTl2S4 | the Alexandria database | PBE | relaxed; calculated total energy = -46.95 eV per formula unit; E_form (uncorrected) = -993.5 meV per atom
1.0
-1.0556 2.8224 2.7656
-6.7464 0.5332 -3.1192
0.5320 -6.5885 3.9025
Li Np Tl S
2 1 2 4
Cartesian
-7.1863 0.0506 0.2298
-0.0837 -3.2835 3.3190
0.0000 0.0000 0.0000
-3.7972 -1.1493 -0.2765
-3.4728 -2.0836 3.8254
-1.1315 -1.9217 1.5292
-6.1385 -1.3113 2.0196
-5.7548 1.6662 -0.8726
-1.5152 -4.8992 4.4215



BiAu2Cl | the Alexandria database | PBE | relaxed; calculated total energy = -12.42 eV per formula unit; E above lowest polymorph = 0.0 kJ per mole of atoms; E_form (uncorrected) = -35.4 meV per atom
1.0
8.2965 0.0000 0.0000
0.0000 8.2965 0.0000
4.1482 4.1482 2.8237
Au Bi Cl
4 2 2
Cartesian
6.3590 2.0741 0.7059
1.9375 6.2223 0.7059
6.2223 6.0857 2.1178
10.3706 10.5072 2.1178
0.0000 0.0000 0.0000
8.2965 4.1482 1.4119
4.1482 4.1482 0.0000
4.1482 8.2965 1.4119



TbHo2P3Rh12 | the Alexandria database | PBE | relaxed; ΔH_f (0 K) = -0.421 eV per atom; calculated total energy = -125.81 eV per formula unit
1.0
-4.3632 2.7515 4.2754
-2.2974 -5.7709 2.5112
4.0379 -0.1277 5.3448
Tb Ho P Rh
1 2 3 12
Cartesian
0.0000 0.0000 0.0000
-1.6461 -1.9752 7.6139
-0.9766 -1.1719 4.5175
-2.1816 1.3757 2.1377
-1.1487 -2.8854 1.2556
2.0189 -0.0638 2.6724
1.1968 -1.2336 7.3606
-4.0948 -2.5188 7.3726
-0.0492 -3.9053 7.8875
-3.3134 0.3121 6.7865
-1.0440 0.1988 8.7371
-2.2043 -4.2633 5.8393
-3.8195 -1.9135 4.7708
1.4721 -0.6283 4.7588
-2.5735 0.7582 4.2439
0.6907 -3.4592 5.3449
-1.5787 -3.3459 3.3943
-0.4184 1.1162 6.2921



CdOs3Br | the Alexandria database | PBE | relaxed; calculated total energy = -20.27 eV per formula unit; E above lowest polymorph = 91.0 kJ per mole of atoms; E_form (uncorrected) = 3202.2 meV per atom
1.0
-3.6867 1.7073 2.9475
-3.1992 -0.2445 -3.8600
-1.1693 -4.7138 1.2678
Os Br Cd
3 1 1
Cartesian
-1.5996 -0.1223 -1.9300
-0.5847 -2.3569 0.6339
-1.8434 0.8536 1.4737
-4.0276 -1.6255 0.1776
0.0000 0.0000 0.0000



CsV2Ag4 | the Alexandria database | PBE | relaxed; ΔH_f (0 K) = 1.221 eV per atom; calculated total energy = -21.95 eV per formula unit
1.0
5.9936 0.0000 0.0000
0.0000 5.9936 0.0000
2.9968 2.9968 7.3947
Cs Ag V
1 4 2
Cartesian
0.0000 0.0000 0.0000
5.9936 5.9936 3.8942
2.9968 2.9968 3.5005
0.0000 2.9968 0.0000
2.9968 0.0000 0.0000
5.9936 5.9936 6.4978
2.9968 2.9968 0.8970